## ZnBiSbO6 (GGA-PBE)

Data for a relaxed structure of ZnBiSbO6.

Unit cell a=5.2914 b=5.2914 c=9.2342 alpha=90.00 beta=90.00 gamma=120.00
Atoms (fractional coordinates):
O 0.6476 0.6580 0.1303
O 0.6580 0.0105 0.8697
Zn 0.3333 0.6667 0.7500
Sb 0.3333 0.6667 0.2500
O 0.3524 0.0105 0.6303
Bi 0.0000 0.0000 0.0000
Bi 0.0000 0.0000 0.5000
O 0.0105 0.3524 0.1303
O 0.3524 0.3420 0.8697
Sb 0.6667 0.3333 0.7500
O 0.3420 0.3524 0.3697
O 0.6580 0.6476 0.6303
O 0.0105 0.6580 0.3697
O 0.9895 0.3420 0.6303
O 0.3420 0.9895 0.1303
Zn 0.6667 0.3333 0.2500
O 0.6476 0.9895 0.3697
O 0.9895 0.6476 0.8697

Formation energy without anion corrections (eV/atom): -1.116
Electronic total energy (eV per cell): -98.14
V (Å³/atom): 12.44